# 1
The following is a DFT calculation (PBE) of Cs2Li2CdBr6 after structural relaxation.

Results
The total magnetization is 0.00 μB per formula unit. The uncorrected formation energy is -15.55 eV/f.u. The calculation puts the total energy at -2.91 eV per atom.

abc: 13.7449 7.8850 8.1291
angles: 90.00 115.47 90.00
Space group C2/m (No. 12)
Inequivalent atoms, fractional coordinates:
Cs: 0.2125 0.0000 0.1773 x4
Li: 0.0786 0.5000 0.2800 x4
Cd: 0.0000 0.0000 0.5000 x2
Br: 0.0283 0.2428 0.7687 x8
Br: 0.2317 0.0000 0.6479 x4

=====

# 2
The following is a DFT calculation (PBE) of K2TlAg after structural relaxation.

Results
The total magnetization is 0.00 μB per formula unit. The calculation puts the formation energy at -0.02 eV/atom. As for the offset from the most stable computed form: 0.06 eV per formula unit. The calculation puts the total energy at -1.87 eV per atom.

abc: 8.8013 5.0716 7.9911
angles: 90.00 110.97 90.00
Space group Cm (No. 8)
Inequivalent atoms, fractional coordinates:
K: 0.0000 0.0000 0.0000 x2
K: 0.1877 0.0000 0.5759 x2
Tl: 0.4271 0.0000 0.2869 x2
Ag: 0.2614 0.5000 0.2909 x2

=====

# 3
The following is a DFT calculation (PBE) of SbAsBr2 after structural relaxation.

Results
The total magnetization is 0.00 μB per formula unit. The uncorrected formation energy is 1.70 eV/f.u. As for the offset from the most stable computed form: 2.77 eV per formula unit. The calculation puts the total energy at -2.61 eV per atom.

abc: 3.2753 3.2753 10.6731
angles: 90.00 90.00 90.00
Space group P4/mmm (No. 123)
Inequivalent atoms, fractional coordinates:
Sb: 0.0000 0.0000 0.0000 x1
As: 0.0000 0.0000 0.5000 x1
Br: 0.5000 0.5000 0.3330 x2

=====

# 4
The following is a DFT calculation (PBE) of Hg3BP after structural relaxation.

Results
The total magnetization is 1.71 μB per formula unit. The calculation puts the formation energy at 0.90 eV/atom. As for the offset from the most stable computed form: 0.00 eV per formula unit. The calculation puts the total energy at -1.70 eV per atom.

abc: 4.7103 4.7103 4.7103
angles: 90.00 90.00 90.00
Space group Pm-3m (No. 221)
Inequivalent atoms, fractional coordinates:
Hg: 0.0000 0.0000 0.5000 x3
B: 0.0000 0.0000 0.0000 x1
P: 0.5000 0.5000 0.5000 x1

=====

# 5
The following is a DFT calculation (PBE) of Ba3Ga2Si3 after structural relaxation.

Results
The total magnetization is 0.00 μB per formula unit. The uncorrected formation energy is -2.88 eV/f.u. As for the offset from the most stable computed form: 0.00 eV per formula unit. The calculation puts the total energy at -3.87 eV per atom.

abc: 4.3679 12.5256 16.5533
angles: 90.00 90.00 90.00
Space group Cmcm (No. 63)
Inequivalent atoms, fractional coordinates:
Ba: 0.0000 0.0113 0.2500 x4
Ba: 0.0000 0.3345 0.0944 x8
Ga: 0.0000 0.3771 0.6165 x8
Si: 0.0000 0.0656 0.0515 x8
Si: 0.0000 0.2738 0.7500 x4

=====

# 6
The following is a DFT calculation (PBE) of K2ZrGePt after structural relaxation.

Results
The total magnetization is 0.12 μB per formula unit. The calculation puts the formation energy at 0.60 eV/atom. The calculation puts the total energy at -3.68 eV per atom.

abc: 5.8628 5.8628 5.1288
angles: 90.00 90.00 90.00
Space group P4/mmm (No. 123)
Inequivalent atoms, fractional coordinates:
K: 0.0000 0.5000 0.0000 x2
Zr: 0.0000 0.0000 0.5000 x1
Ge: 0.5000 0.5000 0.5000 x1
Pt: 0.0000 0.0000 0.0000 x1

=====

# 7
The following is a DFT calculation (PBE) of HfPaZn4 after structural relaxation.

Results
The total magnetization is 0.80 μB per formula unit. The calculation puts the formation energy at -0.11 eV/atom. As for the offset from the most stable computed form: 0.19 eV per formula unit. The calculation puts the total energy at -4.20 eV per atom.

abc: 7.5366 7.5366 7.5366
angles: 90.00 90.00 90.00
Space group F-43m (No. 216)
Inequivalent atoms, fractional coordinates:
Hf: 0.0000 0.0000 0.0000 x4
Pa: 0.2500 0.2500 0.2500 x4
Zn: 0.1256 0.1256 0.6256 x16

=====

# 8
The following is a DFT calculation (PBE) of RbTlZn3 after structural relaxation.

Results
The total magnetization is 0.00 μB per formula unit. The calculation puts the formation energy at 0.82 eV/atom. As for the offset from the most stable computed form: 2.57 eV per formula unit. The calculation puts the total energy at -0.61 eV per atom.

abc: 6.2166 6.2166 6.2166
angles: 90.00 90.00 90.00
Space group Pm-3m (No. 221)
Inequivalent atoms, fractional coordinates:
Rb: 0.0000 0.0000 0.0000 x1
Tl: 0.5000 0.5000 0.5000 x1
Zn: 0.0000 0.0000 0.5000 x3